# Li2DyAlTe4 PBE relaxed
data_Li2DyAlTe4
_cell_length_a 8.286
_cell_length_b 8.654
_cell_length_c 12.006
_cell_angle_alpha 90.00
_cell_angle_beta 90.00
_cell_angle_gamma 90.00
_space_group_name_H-M_alt 'I m m a'
_space_group_IT_number 74
_space_group_name_Hall '-I 2b 2'
loop_
_atom_site_label
_atom_site_type_symbol
_atom_site_fract_x
_atom_site_fract_y
_atom_site_fract_z
_atom_site_occupancy
Li1 Li 0.000 0.000 0.000 1
Li2 Li 0.250 0.250 0.250 1
Dy1 Dy 0.000 0.000 0.500 1
Al1 Al 0.250 0.250 0.750 1
Te1 Te 0.000 0.026 0.756 1
Te2 Te 0.241 0.250 0.998 1
# Spin magnetization   0.00 Bohr magnetons per cell
# Fermi-level density of states   0.8 states/eV/f.u.
# E_form (uncorrected)   -0.906 eV per atom
# V   26.9 A^3/atom

***

# LiDyAlTl PBE relaxed
data_LiDyAlTl
_cell_length_a 7.126
_cell_length_b 7.126
_cell_length_c 7.126
_cell_angle_alpha 90.00
_cell_angle_beta 90.00
_cell_angle_gamma 90.00
_space_group_name_H-M_alt 'F -4 3 m'
_space_group_IT_number 216
_space_group_name_Hall 'F -4 2 3'
loop_
_atom_site_label
_atom_site_type_symbol
_atom_site_fract_x
_atom_site_fract_y
_atom_site_fract_z
_atom_site_occupancy
Li1 Li 0.000 0.000 0.000 1
Dy1 Dy 0.000 0.000 0.500 1
Al1 Al 0.250 0.250 0.750 1
Tl1 Tl 0.250 0.250 0.250 1
# ΔE_f   -93 kJ/mol of formula units
# Spin magnetization   0.00 Bohr magnetons per cell
# Fermi-level density of states   1.1 states/eV/f.u.
# V   22.6 A^3/atom

***

# LiDyTmAl PBE relaxed
data_LiDyTmAl
_cell_length_a 7.235
_cell_length_b 7.235
_cell_length_c 7.235
_cell_angle_alpha 90.00
_cell_angle_beta 90.00
_cell_angle_gamma 90.00
_space_group_name_H-M_alt 'F -4 3 m'
_space_group_IT_number 216
_space_group_name_Hall 'F -4 2 3'
loop_
_atom_site_label
_atom_site_type_symbol
_atom_site_fract_x
_atom_site_fract_y
_atom_site_fract_z
_atom_site_occupancy
Li1 Li 0.000 0.000 0.000 1
Dy1 Dy 0.250 0.250 0.250 1
Tm1 Tm 0.250 0.250 0.750 1
Al1 Al 0.000 0.000 0.500 1
# ΔE_f   -80 kJ/mol of formula units
# Spin magnetization   0.00 Bohr magnetons per cell
# Fermi-level density of states   3.5 states/eV/f.u.
# V   23.7 A^3/atom

***

# LiDyYAl PBE relaxed
data_LiDyYAl
_cell_length_a 7.295
_cell_length_b 7.295
_cell_length_c 7.295
_cell_angle_alpha 90.00
_cell_angle_beta 90.00
_cell_angle_gamma 90.00
_space_group_name_H-M_alt 'F -4 3 m'
_space_group_IT_number 216
_space_group_name_Hall 'F -4 2 3'
loop_
_atom_site_label
_atom_site_type_symbol
_atom_site_fract_x
_atom_site_fract_y
_atom_site_fract_z
_atom_site_occupancy
Li1 Li 0.000 0.000 0.000 1
Dy1 Dy 0.250 0.250 0.750 1
Y1 Y 0.250 0.250 0.250 1
Al1 Al 0.000 0.000 0.500 1
# ΔE_f   -87 kJ/mol of formula units
# Spin magnetization   0.00 Bohr magnetons per cell
# Fermi-level density of states   3.8 states/eV/f.u.
# V   24.3 A^3/atom

***

# LiDyAl2Zn4 PBE relaxed
data_LiDyAl2Zn4
_cell_length_a 4.4507
_cell_length_b 4.4507
_cell_length_c 23.5727
_cell_angle_alpha 90.00
_cell_angle_beta 90.00
_cell_angle_gamma 120.00
_space_group_name_H-M_alt 'R -3 m'
_space_group_IT_number 166
_space_group_name_Hall '-R 3 2"'
loop_
_atom_site_label
_atom_site_type_symbol
_atom_site_fract_x
_atom_site_fract_y
_atom_site_fract_z
_atom_site_occupancy
Li1 Li 0.0000 0.0000 0.0000 1
Dy1 Dy 0.0000 0.0000 0.5000 1
Al1 Al 0.0000 0.0000 0.2520 1
Zn1 Zn 0.0000 0.0000 0.1089 1
Zn2 Zn 0.0000 0.0000 0.3686 1
# ΔE_f   -188 kJ/mol of formula units
# Spin magnetization   0.00 Bohr magnetons per cell
# Fermi-level density of states   2.7 states/eV/f.u.
# V   16.8 A^3/atom

***

# LiDyAlZn6 PBE relaxed
data_LiDyAlZn6
_cell_length_a 6.868
_cell_length_b 8.942
_cell_length_c 11.038
_cell_angle_alpha 90.00
_cell_angle_beta 90.00
_cell_angle_gamma 90.00
_space_group_name_H-M_alt 'I m m a'
_space_group_IT_number 74
_space_group_name_Hall '-I 2b 2'
loop_
_atom_site_label
_atom_site_type_symbol
_atom_site_fract_x
_atom_site_fract_y
_atom_site_fract_z
_atom_site_occupancy
Li1 Li 0.250 0.250 0.250 1
Dy1 Dy 0.000 0.250 0.699 1
Al1 Al 0.000 0.000 0.500 1
Zn1 Zn 0.000 0.250 0.014 1
Zn2 Zn 0.000 0.250 0.420 1
Zn3 Zn 0.185 0.018 0.871 1
# ΔE_f   -5 kJ/mol of formula units
# Spin magnetization   0.00 Bohr magnetons per cell
# Fermi-level density of states   3.3 states/eV/f.u.
# V   18.8 A^3/atom